First-principles (PBE) data for a relaxed structure of Li6SnIr2, as listed in Alexandria via LeMat-Bulk.

abc: 6.8532 7.6130 5.1155
angles: 90.00 99.19 90.00
Space group C2/m (No. 12)
Symmetry-distinct sites (fractional):
Li (0.0000, 0.1753, 0.0000) x4
Li (0.1624, 0.3377, 0.6753) x8
Sn (0.0000, 0.0000, 0.5000) x2
Ir (0.1595, 0.5000, 0.1596) x4

Summary:
Crystal system: monoclinic
Total moment: 0.000 μB/atom
Raw total energy: -35.28 eV per formula unit
Energy relative to the elements: -230 meV per atom